[1]
The following is a DFT calculation (PBE-GGA) of AlHgC2O after structural relaxation.

POSCAR file:
```
AlHgC2O
1.0
4.256 0.000 0.000
0.000 4.256 0.000
0.000 0.000 4.299
Al Hg C O
1 1 2 1
direct
0.000 0.000 0.000
0.500 0.500 0.500
0.000 0.500 0.500
0.500 0.000 0.500
0.500 0.500 0.000
```

Summary:
Its total DFT energy (no corrections) is -3.121 eV/atom. The calculation puts the density of states at the Fermi level at 0.5195 states/eV per atom. Its space group is P4/mmm (123). For the raw formation energy, the calculation gives 54.624 kcal/mol of atoms.

[2]
The following is a DFT calculation (PBE-GGA) of AlHgPbC2 after structural relaxation.

POSCAR file:
```
AlHgPbC2
1.0
4.458 0.000 0.000
0.000 4.458 0.000
0.000 0.000 6.075
Al Hg Pb C
1 1 1 2
direct
0.000 0.000 0.000
0.500 0.500 0.000
0.500 0.500 0.500
0.000 0.500 0.500
0.500 0.000 0.500
```

Summary:
Its total DFT energy (no corrections) is -2.832 eV/atom. The calculation puts the density of states at the Fermi level at 0.4580 states/eV per atom. Its space group is P4/mmm (123).

What is the formula in the first record?
AlHgC2O